Material: Nb2Al2P
Method: DFT, PBE
State: relaxed

Computed properties:
The energy of formation from the pure elements comes out at -0.347 eV/atom. Its total energy is -6.954 eV/atom.

Cell lengths 6.5171, 6.5171, 4.1231 Å; angles 90.00, 90.00, 90.00 degrees
Last column: nearest neighbours and their distance in Å.
Fractional positions:
Al1 0.6425 0.8575 0.5000  1 Al 2.63, 6 Nb 2.73-2.87
Al2 0.3575 0.1425 0.5000  1 Al 2.63, 6 Nb 2.73-2.87
Al3 0.8575 0.3575 0.5000  1 Al 2.63, 6 Nb 2.73-2.87
Al4 0.1425 0.6425 0.5000  1 Al 2.63, 6 Nb 2.73-2.87
Nb1 0.3361 0.8361 0.0000  2 P 2.44, 2 Al 2.73
Nb2 0.8361 0.6639 0.0000  2 P 2.44, 2 Al 2.73
Nb3 0.6639 0.1639 0.0000  2 P 2.44, 2 Al 2.73
Nb4 0.1639 0.3361 0.0000  2 P 2.44, 2 Al 2.73
P1 0.0000 0.0000 0.0000  4 Nb 2.44
P2 0.5000 0.5000 0.0000  4 Nb 2.44